# PBE-GGA LiTa2Te, optimized geometry
# Theoretical density in g cm⁻³: 11.33
# E_form (uncorrected) in meV per atom: 388.1
# E_tot in eV for the cell shown: -54.42
data_LiTa2Te
_symmetry_space_group_name_H-M 'C m m m'
_symmetry_Int_Tables_number 65
_symmetry_space_group_name_Hall '-C 2 2'
_cell_length_a 5.6922
_cell_length_b 7.8707
_cell_length_c 3.2472
_cell_angle_alpha 90.00
_cell_angle_beta 90.00
_cell_angle_gamma 90.00
loop_
_atom_site_label
_atom_site_fract_x
_atom_site_fract_y
_atom_site_fract_z
Li1 0.0000 0.0000 0.0000
Ta1 0.2500 0.2500 0.5000
Te1 0.0000 0.5000 0.0000